1.
# CaPr5Tm

A relaxed CaPr5Tm crystal (PBE, Alexandria).

Cell lengths 10.1272, 6.7342, 12.3554 Å; angles 74.02, 90.00, 138.76 degrees
Last column: nearest neighbours and their distance in Å.
Fractional coordinates of all 14 atoms:
Pr 0.6105 0.5877 0.3389  4 Pr 3.39-3.73, 2 Ca 3.66-3.71, 1 Tm 3.71
Pr 0.4549 0.2260 0.9633  4 Pr 3.35-3.68, 1 Tm 3.58, 2 Ca 3.58-3.61
Pr 0.7710 0.2260 0.4633  4 Pr 3.35-3.68, 1 Tm 3.58, 2 Ca 3.58-3.61
Pr 0.0228 0.4123 0.1611  4 Pr 3.39-3.73, 2 Ca 3.66-3.71, 1 Tm 3.71
Pr 0.9772 0.5877 0.8389  4 Pr 3.39-3.73, 2 Ca 3.66-3.71, 1 Tm 3.71
Pr 0.1450 0.0000 0.2500  6 Pr 3.35-3.73, 2 Tm 3.42, 1 Ca 3.56
Pr 0.3895 0.4123 0.6611  4 Pr 3.39-3.73, 2 Ca 3.66-3.71, 1 Tm 3.71
Pr 0.2290 0.7740 0.5367  4 Pr 3.35-3.68, 1 Tm 3.58, 2 Ca 3.58-3.61
Pr 0.8550 0.0000 0.7500  6 Pr 3.35-3.73, 2 Tm 3.42, 1 Ca 3.56
Pr 0.5451 0.7740 0.0367  4 Pr 3.35-3.68, 1 Tm 3.58, 2 Ca 3.58-3.61
Tm 0.0000 0.0000 0.0000  6 Pr 3.42-3.71
Tm 0.0000 0.0000 0.5000  6 Pr 3.42-3.71
Ca 0.4968 0.0000 0.2500  9 Pr 3.56-3.71
Ca 0.5032 0.0000 0.7500  9 Pr 3.56-3.71

Properties
The electronic total energy comes out at -59.0 eV per cell. Its space-group type is C2/c, No. 15. The energy of formation is 124.2 meV per atom.


2.
# NdEr3Th4S8

A relaxed NdEr3Th4S8 crystal (PBE, Alexandria).

Cell lengths 7.8221, 8.1031, 7.8224 Å; angles 118.86, 120.00, 90.00 degrees
Last column: nearest neighbours and their distance in Å.
Fractional coordinates of all 16 atoms:
Th 0.0000 0.0000 0.5000  6 S 2.90
Th 0.5000 0.0000 0.5000  6 S 2.90
Th 0.0000 0.0000 0.0000  6 S 2.90
Th 0.5000 0.0000 0.0000  6 S 2.83
S 0.2566 0.2697 0.5131  3 Er 2.74, 3 Th 2.90
S 0.7506 0.2643 0.0136  2 Er 2.74, 1 Nd 2.81, 3 Th 2.83-2.90
S 0.2494 0.7357 0.4987  2 Er 2.74, 1 Nd 2.81, 3 Th 2.83-2.90
S 0.2494 0.7357 0.9864  2 Er 2.74, 1 Nd 2.81, 3 Th 2.83-2.90
S 0.7434 0.7303 0.4869  3 Er 2.74, 3 Th 2.90
S 0.2630 0.2643 0.0136  2 Er 2.74, 1 Nd 2.81, 3 Th 2.83-2.90
S 0.7506 0.2643 0.5013  2 Er 2.74, 1 Nd 2.81, 3 Th 2.83-2.90
S 0.7370 0.7357 0.9864  2 Er 2.74, 1 Nd 2.81, 3 Th 2.83-2.90
Er 0.0000 0.5000 0.5000  6 S 2.74
Er 0.5000 0.5000 0.0000  6 S 2.74
Er 0.5000 0.5000 0.5000  6 S 2.74
Nd 0.0000 0.5000 0.0000  6 S 2.81

Properties
As for the uncorrected formation energy: -30.38 eV/f.u. The electronic total energy comes out at -111.5 eV per cell. Its space-group type is R-3m, No. 166.


3.
# Li15AlCd4

A relaxed Li15AlCd4 crystal (PBE, Alexandria).

Cell lengths 4.1709, 4.1709, 20.9268 Å; angles 90.00, 90.00, 90.00 degrees
Last column: nearest neighbours and their distance in Å.
Fractional coordinates of all 20 atoms:
Cd 0.0000 0.0000 0.6015  12 Li 2.95-2.98
Cd 0.0000 0.0000 0.1952  12 Li 2.95-2.98
Cd 0.0000 0.0000 0.3985  12 Li 2.95-2.98
Cd 0.0000 0.0000 0.8048  12 Li 2.95-2.98
Li 0.0000 0.5000 0.7032  8 Li 2.95-2.98, 4 Cd 2.98
Li 0.0000 0.5000 0.9047  8 Li 2.89-2.96, 2 Al 2.89, 2 Cd 2.95
Li 0.5000 0.5000 0.6017  4 Cd 2.95, 8 Li 2.98
Li 0.0000 0.5000 0.5000  8 Li 2.95-2.98, 4 Cd 2.98
Li 0.5000 0.5000 0.8042  4 Cd 2.95, 8 Li 2.96-2.97
Li 0.5000 0.5000 0.3983  4 Cd 2.95, 8 Li 2.98
Li 0.5000 0.5000 0.1958  4 Cd 2.95, 8 Li 2.96-2.97
Li 0.0000 0.5000 0.2968  8 Li 2.95-2.98, 4 Cd 2.98
Li 0.5000 0.0000 0.2968  8 Li 2.95-2.98, 4 Cd 2.98
Li 0.5000 0.0000 0.9047  8 Li 2.89-2.96, 2 Al 2.89, 2 Cd 2.95
Li 0.0000 0.5000 0.0953  8 Li 2.89-2.96, 2 Al 2.89, 2 Cd 2.95
Li 0.5000 0.5000 0.0000  8 Li 2.89, 4 Al 2.95
Li 0.5000 0.0000 0.5000  8 Li 2.95-2.98, 4 Cd 2.98
Li 0.5000 0.0000 0.0953  8 Li 2.89-2.96, 2 Al 2.89, 2 Cd 2.95
Li 0.5000 0.0000 0.7032  8 Li 2.95-2.98, 4 Cd 2.98
Al 0.0000 0.0000 0.0000  12 Li 2.89-2.95

Properties
The electronic total energy comes out at -38.9 eV per cell. Its space-group type is P4/mmm, No. 123. The energy of formation is -139.3 meV per atom.


4.
# ZrSb2Pd

A relaxed ZrSb2Pd crystal (PBE, Alexandria).

Cell lengths 7.6124, 7.6124, 6.2489 Å; angles 52.48, 52.48, 90.00 degrees
Last column: nearest neighbours and their distance in Å.
Fractional coordinates of all 8 atoms:
Sb 0.6592 0.1250 0.2500  2 Pd 2.64
Sb 0.3750 0.3408 0.7500  2 Pd 2.64
Sb 0.8750 0.9092 0.7500  2 Pd 2.64
Sb 0.0908 0.6250 0.2500  2 Pd 2.64
Zr 0.5000 0.5000 0.0000  4 Sb 2.99, 2 Pd 3.17
Zr 0.2500 0.7500 0.5000  4 Sb 2.99, 2 Pd 3.17
Pd 0.0000 0.0000 0.0000  4 Sb 2.64
Pd 0.7500 0.2500 0.5000  4 Sb 2.64

Properties
As for the uncorrected formation energy: -1.04 eV/f.u. The electronic total energy comes out at -46.1 eV per cell. Its space-group type is I-42d, No. 122.


5.
# TbSc2

A relaxed TbSc2 crystal (PBE, Alexandria).

Cell lengths 3.3639, 3.3639, 7.4991 Å; angles 102.96, 102.96, 90.00 degrees
Last column: nearest neighbours and their distance in Å.
Fractional coordinates of all 3 atoms:
Sc 0.6715 0.6715 0.3430  8 Sc 3.26-3.36, 4 Tb 3.41
Sc 0.3285 0.3285 0.6570  8 Sc 3.26-3.36, 4 Tb 3.41
Tb 0.0000 0.0000 0.0000  4 Tb 3.36, 8 Sc 3.41

Properties
For the excess energy over the best structure of this formula in the dataset, the calculation gives 27 meV per atom. The electronic total energy comes out at -17.1 eV per cell. Its space-group type is I4/mmm, No. 139. The energy of formation is 54.5 meV per atom.


6.
# PmThOs

A relaxed PmThOs crystal (PBE, Alexandria).

Cell lengths 4.0161, 6.3423, 7.1116 Å; angles 73.40, 73.60, 71.54 degrees
Last column: nearest neighbours and their distance in Å.
Fractional coordinates of all 6 atoms:
Th 0.9945 0.4317 0.5793  3 Os 2.77-3.09
Th 0.5854 0.9444 0.8847  2 Os 2.83
Pm 0.7560 0.3554 0.1326  4 Os 2.95-3.22
Pm 0.3332 0.9056 0.4280  3 Os 2.93-3.09
Os 0.0349 0.7643 0.1660  3 Th 2.83-3.09, 2 Pm 2.93, 1 Os 2.95
Os 0.3193 0.5385 0.8228  2 Th 2.77, 1 Os 2.95, 3 Pm 2.95-3.09

Properties
For the excess energy over the best structure of this formula in the dataset, the calculation gives 25 meV per atom. The electronic total energy comes out at -47.9 eV per cell. Its space-group type is Cm, No. 8. The energy of formation is -180.6 meV per atom.


7.
# CaCrCo4

A relaxed CaCrCo4 crystal (PBE, Alexandria).

Cell lengths 4.9342, 4.9342, 4.9342 Å; angles 60.00, 60.00, 60.00 degrees
Last column: nearest neighbours and their distance in Å.
Fractional coordinates of all 6 atoms:
Ca 0.0000 0.0000 0.0000  12 Co 2.89, 4 Cr 3.02
Co 0.3759 0.8723 0.3759  6 Co 2.45-2.48
Co 0.3759 0.3759 0.8723  6 Co 2.45-2.48
Co 0.3759 0.3759 0.3759  6 Co 2.45-2.48
Co 0.8723 0.3759 0.3759  6 Co 2.45-2.48
Cr 0.7500 0.7500 0.7500  12 Co 2.89, 4 Ca 3.02

Properties
The electronic total energy comes out at -38.4 eV per cell. Its space-group type is F-43m, No. 216. The energy of formation is 269.5 meV per atom.


8.
# Th3Ni2Sn4

A relaxed Th3Ni2Sn4 crystal (PBE, Alexandria).

Cell lengths 4.5381, 6.2704, 8.7011 Å; angles 101.21, 90.00, 111.21 degrees
Last column: nearest neighbours and their distance in Å.
Fractional coordinates of all 9 atoms:
Ni 0.4333 0.8665 0.7404  3 Sn 2.53-2.55, 1 Th 2.72
Ni 0.5667 0.1335 0.2596  3 Sn 2.53-2.55, 1 Th 2.72
Sn 0.2820 0.5639 0.9135  1 Ni 2.55
Sn 0.0812 0.1624 0.3905  2 Ni 2.53
Sn 0.7180 0.4361 0.0865  1 Ni 2.55
Sn 0.9188 0.8376 0.6095  2 Ni 2.53
Th 0.3524 0.7048 0.3347  1 Ni 2.72
Th 0.6476 0.2952 0.6653  1 Ni 2.72
Th 0.0000 0.0000 0.0000  4 Ni 3.18, 8 Sn 3.33-3.53

Properties
The electronic total energy comes out at -54.7 eV per cell. Its space-group type is C2/m, No. 12. The energy of formation is -545.0 meV per atom.


9.
# HoErThZn

A relaxed HoErThZn crystal (PBE, Alexandria).

Cell lengths 3.5432, 3.5432, 8.5253 Å; angles 90.00, 90.00, 90.00 degrees
Last column: nearest neighbours and their distance in Å.
Fractional coordinates of all 4 atoms:
Er 0.5000 0.5000 0.3615  4 Zn 3.07
Zn 0.0000 0.0000 0.5699  4 Er 3.07, 4 Ho 3.09
Ho 0.5000 0.5000 0.7813  4 Zn 3.09
Th 0.0000 0.0000 0.0720  4 Er 3.52, 4 Ho 3.52, 4 Th 3.54

Properties
The electronic total energy comes out at -18.5 eV per cell. Its space-group type is P4mm, No. 99. The energy of formation is -168.2 meV per atom.


10.
# AcHo12Sc7

A relaxed AcHo12Sc7 crystal (PBE, Alexandria).

Cell lengths 8.4998, 8.4998, 8.4998 Å; angles 98.55, 98.55, 98.55 degrees
Last column: nearest neighbours and their distance in Å.
Fractional coordinates of all 20 atoms:
Ho 0.6401 0.9075 0.6401  6 Ho 3.28-3.45, 3 Sc 3.46-3.52
Ho 0.2346 0.7654 0.5000  6 Ho 3.28-3.45, 5 Sc 3.31-3.42
Ho 0.5000 0.7654 0.2346  6 Ho 3.28-3.45, 5 Sc 3.31-3.42
Ho 0.5000 0.2346 0.7654  6 Ho 3.28-3.45, 5 Sc 3.31-3.42
Ho 0.2346 0.5000 0.7654  6 Ho 3.28-3.45, 5 Sc 3.31-3.42
Ho 0.6401 0.6401 0.9075  6 Ho 3.28-3.45, 3 Sc 3.46-3.52
Ho 0.7654 0.5000 0.2346  6 Ho 3.28-3.45, 5 Sc 3.31-3.42
Ho 0.0925 0.3599 0.3599  6 Ho 3.28-3.45, 3 Sc 3.46-3.52
Ho 0.3599 0.3599 0.0925  6 Ho 3.28-3.45, 3 Sc 3.46-3.52
Ho 0.9075 0.6401 0.6401  6 Ho 3.28-3.45, 3 Sc 3.46-3.52
Ho 0.7654 0.2346 0.5000  6 Ho 3.28-3.45, 5 Sc 3.31-3.42
Ho 0.3599 0.0925 0.3599  6 Ho 3.28-3.45, 3 Sc 3.46-3.52
Sc 0.1059 0.6509 0.1059  1 Sc 3.06, 4 Ho 3.31-3.39
Sc 0.8941 0.8941 0.3491  1 Sc 3.06, 4 Ho 3.31-3.39
Sc 0.3491 0.8941 0.8941  1 Sc 3.06, 4 Ho 3.31-3.39
Sc 0.1059 0.1059 0.6509  1 Sc 3.06, 4 Ho 3.31-3.39
Sc 0.5000 0.5000 0.5000  12 Ho 3.42-3.46
Sc 0.8941 0.3491 0.8941  1 Sc 3.06, 4 Ho 3.31-3.39
Sc 0.6509 0.1059 0.1059  1 Sc 3.06, 4 Ho 3.31-3.39
Ac 0.0000 0.0000 0.0000  6 Sc 3.43

Properties
The electronic total energy comes out at -101.1 eV per cell. Its space-group type is R-3m, No. 166. The energy of formation is 112.5 meV per atom.


11.
# DyPaN

A relaxed DyPaN crystal (PBE, Alexandria).

Cell lengths 4.2799, 4.2799, 4.2799 Å; angles 60.00, 60.00, 60.00 degrees
Last column: nearest neighbours and their distance in Å.
Fractional coordinates of all 3 atoms:
N 0.2500 0.2500 0.2500  4 Dy 2.62, 4 Pa 2.62
Dy 0.0000 0.0000 0.0000  4 N 2.62
Pa 0.5000 0.5000 0.5000  4 N 2.62

Properties
As for the uncorrected formation energy: 0.09 eV/f.u. For the excess energy over the best structure of this formula in the dataset, the calculation gives 889 meV per atom. The electronic total energy comes out at -22.3 eV per cell. Its space-group type is F-43m, No. 216.


12.
# Y2HfTc

A relaxed Y2HfTc crystal (PBE, Alexandria).

Cell lengths 8.3825, 8.3825, 6.5992 Å; angles 50.57, 50.57, 90.00 degrees
Last column: nearest neighbours and their distance in Å.
Fractional coordinates of all 8 atoms:
Tc 0.5000 0.5000 0.0000  4 Y 2.70, 2 Hf 2.90
Tc 0.2500 0.7500 0.5000  4 Y 2.70, 2 Hf 2.90
Y 0.8750 0.8095 0.7500  2 Tc 2.70
Y 0.1905 0.6250 0.2500  2 Tc 2.70
Y 0.3750 0.4405 0.7500  2 Tc 2.70
Y 0.5595 0.1250 0.2500  2 Tc 2.70
Hf 0.0000 0.0000 0.0000  2 Tc 2.90
Hf 0.7500 0.2500 0.5000  2 Tc 2.90

Properties
For the excess energy over the best structure of this formula in the dataset, the calculation gives 175 meV per atom. The electronic total energy comes out at -62.2 eV per cell. Its space-group type is I-42d, No. 122. The energy of formation is 538.2 meV per atom.